Entry 1:
{"formula": "HfMgV2O6", "functional": "PBE with a Hubbard U", "state": "relaxed", "cell": [[-5.2063, -0.4497, 0.2365], [-2.1715, -4.5235, 1.4844], [-2.3804, -0.2155, 5.0695]], "species": ["Hf", "Mg", "V", "V", "O", "O", "O", "O", "O", "O"], "frac_coords": [[0.3101, 0.3100, 0.0691], [0.8093, 0.8092, 0.5725], [0.5164, 0.5163, 0.4509], [0.0182, 0.0180, 0.9458], [0.6205, 0.2274, 0.2431], [0.2273, 0.9088, 0.2438], [0.9085, 0.6202, 0.2436], [0.4044, 0.7211, 0.7492], [0.7209, 0.1260, 0.7486], [0.1260, 0.4047, 0.7485]], "crystal_system": "trigonal", "spacegroup": "R3 (146)", "m_tot_mub_per_fu": 4.00, "total_energy_ev_per_atom": -8.23, "density_g_cm3": 5.94}

Entry 2:
{"formula": "HfMg2VO", "functional": "PBE with a Hubbard U", "state": "relaxed", "cell": [[-1.3778, -3.1641, 2.5389], [3.2664, 0.9944, 3.0119], [-2.6476, 2.7329, 1.9691]], "species": ["Mg", "Mg", "Hf", "O", "V"], "frac_coords": [[0.0000, 0.0000, 0.5000], [0.5000, 0.0000, 0.0000], [0.0000, 0.5000, 0.0000], [0.0000, 0.0000, 0.0000], [0.5000, 0.5000, 0.5000]], "crystal_system": "tetragonal", "spacegroup": "P4/mmm (123)", "m_tot_mub_per_fu": 3.63, "total_energy_ev_per_atom": -5.61, "density_g_cm3": 5.84}